A geometry-optimized V2MoN structure. Source: the Alexandria database, functional PBE.

## Properties
Space-group type: I-42d, No. 122
Volume in Å³/cell: 114.0
Total DFT energy (no corrections) in eV/f.u.: -36.97

Cell lengths 5.5348, 5.5348, 5.4005 Å; angles 59.17, 59.17, 90.00 degrees
Fractional coordinates of all 8 atoms:
Mo (0.0000, 0.0000, 0.0000)
Mo (0.7500, 0.2500, 0.5000)
V (0.5230, 0.1250, 0.2500)
V (0.2270, 0.6250, 0.2500)
V (0.3750, 0.4770, 0.7500)
V (0.8750, 0.7730, 0.7500)
N (0.5000, 0.5000, 0.0000)
N (0.2500, 0.7500, 0.5000)